No. 1
4
Lattice="6.143 -2.219 0.000 6.143 2.219 0.000 -0.910 0.000 5.014" Properties=species:S:1:pos:R:3 comment="KCaTe2 | the Alexandria database | PBE | optimized geometry" crystal_system=monoclinic formation_energy_uncorrected_ev_per_atom=-0.97 mass_density_g_cm3=4.06 pbc="T T T"
K 0.000 0.000 0.000
Ca 2.428 0.000 2.663
Te 5.741 0.000 2.566
Te 8.987 0.000 0.054



No. 2
4
Lattice="1.617 0.934 10.906 -1.617 0.934 10.906 0.000 -1.867 10.906" Properties=species:S:1:pos:R:3 comment="PaTl2Cu | the Alexandria database | PBE | optimized geometry" crystal_system=trigonal formation_energy_ev_per_atom=0.442 mass_density_g_cm3=11.82 pbc="T T T"
Pa 0.000 0.000 0.000
Tl 0.000 0.000 3.257
Tl 0.000 0.000 29.461
Cu 0.000 0.000 16.359



No. 3
11
Lattice="3.863 -6.684 0.000 3.863 6.684 0.000 -2.605 0.000 9.179" Properties=species:S:1:pos:R:3 comment="Cs2Y2UTe6 | the Alexandria database | PBE | optimized geometry" crystal_system=monoclinic formation_energy_uncorrected_ev_per_atom=-1.20 mass_density_g_cm3=5.07 pbc="T T T"
Cs 3.863 4.441 0.000
Cs 3.863 -4.441 0.000
Y 2.560 2.240 4.589
Y 2.560 -2.240 4.589
U -1.302 0.000 4.589
Te -0.018 2.197 6.322
Te 1.257 0.000 2.870
Te -0.018 -2.197 6.322
Te 5.138 2.197 2.857
Te 3.864 0.000 6.309
Te 5.138 -2.197 2.857



No. 4
4
Lattice="3.552 0.000 0.000 0.000 3.552 0.000 0.000 0.000 5.779" Properties=species:S:1:pos:R:3 comment="Sc2FePt | the Alexandria database | PBE | optimized geometry" crystal_system=tetragonal formation_energy_ev_per_atom=-0.374 mass_density_g_cm3=7.76 pbc="T T T"
Sc 0.000 0.000 0.000
Sc 1.776 1.776 1.997
Fe 0.000 0.000 2.974
Pt 1.776 1.776 4.749



No. 5
4
Lattice="2.985 0.000 0.000 0.000 4.618 0.000 0.000 0.000 4.794" Properties=species:S:1:pos:R:3 comment="IrW2Br | the Alexandria database | PBE | optimized geometry" crystal_system=orthorhombic formation_energy_uncorrected_ev_per_atom=1.07 mass_density_g_cm3=16.08 pbc="T T T"
Ir 0.000 0.000 0.000
W 0.000 2.309 2.397
W 1.493 0.000 2.397
Br 1.493 2.309 0.000



No. 6
4
Lattice="1.409 0.814 8.214 -1.409 0.814 8.214 0.000 -1.627 8.214" Properties=species:S:1:pos:R:3 comment="CoOs2Se | the Alexandria database | PBE | optimized geometry" crystal_system=trigonal formation_energy_uncorrected_ev_per_atom=0.42 mass_density_g_cm3=15.23 pbc="T T T"
Co 0.000 0.000 0.000
Os 0.000 0.000 6.100
Os 0.000 0.000 12.237
Se 0.000 0.000 18.234



Please write out number 2 again, unchanged.
4
Lattice="1.617 0.934 10.906 -1.617 0.934 10.906 0.000 -1.867 10.906" Properties=species:S:1:pos:R:3 comment="PaTl2Cu | the Alexandria database | PBE | optimized geometry" crystal_system=trigonal formation_energy_ev_per_atom=0.442 mass_density_g_cm3=11.82 pbc="T T T"
Pa 0.000 0.000 0.000
Tl 0.000 0.000 3.257
Tl 0.000 0.000 29.461
Cu 0.000 0.000 16.359